This record from Alexandria describes a relaxed structure of LaPd2Se2. The functional is PBE-GGA.

Lattice parameters (Å, degrees): 5.630 5.630 5.630 127.64 127.64 77.20
Element x y z (fractional)
La  0.000  0.000  0.000
Pd  0.342  0.342  0.000
Pd  0.658  0.658  0.000
Se  0.250  0.750  0.500
Se  0.750  0.250  0.500

Output
Formation energy without anion corrections in eV/atom: -0.87
Energy in eV/atom: -5.328
M_tot in μB/cell: 0.00